Record 1
# GGA-PBE RbGaHg2Ge, relaxed
# Total DFT energy (no corrections)   -7.04 eV for the cell shown
data_RbGaHg2Ge
_chemical_formula_sum 'Rb1 Ga1 Hg2 Ge1'
_cell_length_a 5.291
_cell_length_b 5.291
_cell_length_c 6.580
_cell_angle_alpha 90.00
_cell_angle_beta 90.00
_cell_angle_gamma 90.00
_space_group_name_H-M_alt 'P 4/m m m'
_space_group_IT_number 123
_space_group_name_Hall '-P 4 2'
loop_
_atom_site_label
_atom_site_fract_x
_atom_site_fract_y
_atom_site_fract_z
_atom_site_occupancy
Rb1 0.000 0.000 0.000 1
Ga1 0.000 0.000 0.500 1
Hg1 0.000 0.500 0.500 1
Ge1 0.500 0.500 0.000 1



Record 2
# GGA-PBE K3Nd3MnTe8, relaxed
# Uncorrected formation energy   -1086.2 meV/atom
# Total DFT energy (no corrections)   -204.58 eV for the cell shown
data_K3Nd3MnTe8
_chemical_formula_sum 'K9 Nd9 Mn3 Te24'
_cell_length_a 8.9617
_cell_length_b 8.9617
_cell_length_c 25.3288
_cell_angle_alpha 90.00
_cell_angle_beta 90.00
_cell_angle_gamma 120.00
_space_group_name_H-M_alt 'R -3 m'
_space_group_IT_number 166
_space_group_name_Hall '-R 3 2"'
loop_
_atom_site_label
_atom_site_fract_x
_atom_site_fract_y
_atom_site_fract_z
_atom_site_occupancy
K1 0.0000 0.5000 0.0000 1
Nd1 0.0000 0.5000 0.5000 1
Mn1 0.0000 0.0000 0.5000 1
Te1 0.0000 0.0000 0.2389 1
Te2 0.0378 0.5189 0.2312 1



Record 3
# GGA-PBE BaTiOs, relaxed
# Energy above the most stable polymorph in this dataset   253.6 meV/atom
# Total DFT energy (no corrections)   -40.40 eV for the cell shown
data_BaTiOs
_chemical_formula_sum 'Ba2 Ti2 Os2'
_cell_length_a 3.299
_cell_length_b 3.299
_cell_length_c 13.472
_cell_angle_alpha 90.00
_cell_angle_beta 90.00
_cell_angle_gamma 90.00
_space_group_name_H-M_alt 'I 4 m m'
_space_group_IT_number 107
_space_group_name_Hall 'I 4 -2'
loop_
_atom_site_label
_atom_site_fract_x
_atom_site_fract_y
_atom_site_fract_z
_atom_site_occupancy
Ba1 0.000 0.000 0.000 1
Ti1 0.000 0.000 0.736 1
Os1 0.000 0.000 0.316 1